Below is a relaxed MnGaIO2 crystal, with properties calculated at the GGA+U level.

Unit cell a=3.9509 b=3.9509 c=6.0991 alpha=90.00 beta=90.00 gamma=90.00
With the nearest neighbours (Å) after each atom.
Positions (direct):
O 0.0000 0.5000 0.0000  2 Mn 1.98
O 0.5000 0.0000 0.0000  2 Mn 1.98
Ga 0.5000 0.5000 0.5000  4 I 2.79
Mn 0.0000 0.0000 0.0000  4 O 1.98
I 0.0000 0.0000 0.5000  4 Ga 2.79, 2 Mn 3.05

Output
Polymorph energy (0 for the lowest one): 0.000 eV/atom
ρ: 4.946 g cm⁻³
Total magnetization: 3.38 μB/f.u.
Uncorrected energy: -4.801 eV/atom